Entry 1:
Here is a geometry-optimized TaCo2RhN structure from Alexandria. Energies are from PBE.

Computed properties:
E_tot = -43.4 eV/f.u.
ρ = 11.42 g/cm3
Raw formation energy = -0.322 eV per atom

a b c (Å): 3.8145 3.8145 4.1553
angles (deg): 90.00 90.00 90.00
With the nearest neighbours (Å) after each atom.
Space group P4/mmm (No. 123)
Unique sites:
Ta 0.0000 0.0000 0.0000 x1  2 N 2.08
Co 0.0000 0.5000 0.5000 x2  2 N 1.91
Rh 0.5000 0.5000 0.0000 x1  4 Ta 2.70, 8 Co 2.82
N 0.0000 0.0000 0.5000 x1  4 Co 1.91, 2 Ta 2.08

=====

Entry 2:
Here is a geometry-optimized Ta2CoRhN structure from Alexandria. Energies are from PBE.

Computed properties:
E_tot = -49.2 eV/f.u.
ρ = 13.30 g/cm3
Raw formation energy = -0.548 eV per atom

a b c (Å): 4.2073 4.2073 3.7921
angles (deg): 90.00 90.00 90.00
With the nearest neighbours (Å) after each atom.
Space group P4/mmm (No. 123)
Unique sites:
Ta 0.0000 0.5000 0.0000 x2  2 N 2.10
Co 0.0000 0.0000 0.5000 x1  2 N 1.90
Rh 0.5000 0.5000 0.5000 x1  8 Ta 2.83, 4 Co 2.98
N 0.0000 0.0000 0.0000 x1  2 Co 1.90, 4 Ta 2.10

=====

Entry 3:
Here is a geometry-optimized Co2TcRhN structure from Alexandria. Energies are from PBE.

Computed properties:
E_tot = -39.7 eV/f.u.
ρ = 9.55 g/cm3
Raw formation energy = 0.106 eV per atom

a b c (Å): 3.8217 3.8217 3.9628
angles (deg): 90.00 90.00 90.00
With the nearest neighbours (Å) after each atom.
Space group P4/mmm (No. 123)
Unique sites:
Co 0.0000 0.5000 0.0000 x2  2 N 1.91
Tc 0.0000 0.0000 0.5000 x1  2 N 1.98
Rh 0.5000 0.5000 0.5000 x1  4 Tc 2.70, 8 Co 2.75
N 0.0000 0.0000 0.0000 x1  4 Co 1.91, 2 Tc 1.98

=====

Entry 4:
Here is a geometry-optimized CoTc2RhN structure from Alexandria. Energies are from PBE.

Computed properties:
E_tot = -43.2 eV/f.u.
ρ = 10.06 g/cm3
Raw formation energy = 0.072 eV per atom

a b c (Å): 3.9958 3.9958 3.8457
angles (deg): 90.00 90.00 90.00
With the nearest neighbours (Å) after each atom.
Space group P4/mmm (No. 123)
Unique sites:
Co 0.0000 0.0000 0.0000 x1  2 N 1.92
Tc 0.0000 0.5000 0.5000 x2  2 N 2.00
Rh 0.5000 0.5000 0.0000 x1  8 Tc 2.77, 4 Co 2.83
N 0.0000 0.0000 0.5000 x1  2 Co 1.92, 4 Tc 2.00

=====

Entry 5:
Here is a geometry-optimized CoTe2RhN structure from Alexandria. Energies are from PBE.

Computed properties:
E_tot = -24.7 eV/f.u.
ρ = 8.09 g/cm3
Raw formation energy = 0.876 eV per atom
Energy above the lowest structure with this stoichiometry = 546.3 meV/atom

a b c (Å): 4.7376 4.7376 3.9405
angles (deg): 90.00 90.00 90.00
With the nearest neighbours (Å) after each atom.
Space group P4/mmm (No. 123)
Unique sites:
Co 0.0000 0.0000 0.0000 x1  8 Te 3.08, 4 Rh 3.35
Te 0.0000 0.5000 0.5000 x2  2 N 2.37
Rh 0.5000 0.5000 0.0000 x1  2 N 1.97
N 0.5000 0.5000 0.5000 x1  2 Rh 1.97

=====

Entry 6:
Here is a geometry-optimized CoTe2RhN structure from Alexandria. Energies are from PBE.

Computed properties:
E_tot = -27.4 eV/f.u.
ρ = 8.07 g/cm3
Raw formation energy = 0.330 eV per atom
Energy above the lowest structure with this stoichiometry = 0.0 meV/atom

a b c (Å): 5.1595 5.1595 3.3299
angles (deg): 90.00 90.00 90.00
With the nearest neighbours (Å) after each atom.
Space group P4/mmm (No. 123)
Unique sites:
Co 0.0000 0.0000 0.0000 x1  2 N 1.66
Te 0.0000 0.5000 0.0000 x2  2 Co 2.58
Rh 0.5000 0.5000 0.5000 x1  8 Te 3.07, 2 Rh 3.33
N 0.0000 0.0000 0.5000 x1  2 Co 1.66

=====

Entry 7:
Here is a geometry-optimized CoTeRhN2 structure from Alexandria. Energies are from PBE.

Computed properties:
E_tot = -28.3 eV/f.u.
ρ = 6.18 g/cm3
Raw formation energy = 1.195 eV per atom
Energy above the lowest structure with this stoichiometry = 103.7 meV/atom

a b c (Å): 3.7659 3.7659 6.0164
angles (deg): 90.00 90.00 90.00
With the nearest neighbours (Å) after each atom.
Space group P4/mmm (No. 123)
Unique sites:
Co 0.0000 0.0000 0.0000 x1  4 Te 2.66
Te 0.5000 0.5000 0.0000 x1  4 Co 2.66
Rh 0.5000 0.5000 0.5000 x1  4 N 1.88
N 0.0000 0.5000 0.5000 x2  2 Rh 1.88

=====

Entry 8:
Here is a geometry-optimized CoTeRhN2 structure from Alexandria. Energies are from PBE.

Computed properties:
E_tot = -28.8 eV/f.u.
ρ = 6.98 g/cm3
Raw formation energy = 1.091 eV per atom
Energy above the lowest structure with this stoichiometry = 0.0 meV/atom

a b c (Å): 3.6365 3.6365 5.7149
angles (deg): 90.00 90.00 90.00
With the nearest neighbours (Å) after each atom.
Space group P4/mmm (No. 123)
Unique sites:
Co 0.0000 0.0000 0.0000 x1  4 N 1.82
Te 0.0000 0.0000 0.5000 x1  4 Rh 2.57, 2 Co 2.86
Rh 0.5000 0.5000 0.5000 x1  4 Te 2.57
N 0.0000 0.5000 0.0000 x2  2 Co 1.82

=====

Entry 9:
Here is a geometry-optimized CoTe2RhN structure from Alexandria. Energies are from PBE.

Computed properties:
E_tot = -25.4 eV/f.u.
ρ = 6.73 g/cm3
Raw formation energy = 0.743 eV per atom
Energy above the lowest structure with this stoichiometry = 412.8 meV/atom

a b c (Å): 5.4288 5.4288 3.6106
angles (deg): 90.00 90.00 90.00
With the nearest neighbours (Å) after each atom.
Space group P4/mmm (No. 123)
Unique sites:
Co 0.0000 0.0000 0.0000 x1  8 Te 3.26, 2 Co 3.61
Te 0.0000 0.5000 0.5000 x2  2 Rh 2.71
Rh 0.5000 0.5000 0.5000 x1  2 N 1.81
N 0.5000 0.5000 0.0000 x1  2 Rh 1.81

=====

Entry 10:
Here is a geometry-optimized Ti2CoRhN structure from Alexandria. Energies are from PBE.

Computed properties:
E_tot = -42.7 eV/f.u.
ρ = 7.23 g/cm3
Raw formation energy = -0.822 eV per atom

a b c (Å): 4.0991 4.0991 3.7113
angles (deg): 90.00 90.00 90.00
With the nearest neighbours (Å) after each atom.
Space group P4/mmm (No. 123)
Unique sites:
Ti 0.0000 0.5000 0.0000 x2  2 N 2.05
Co 0.0000 0.0000 0.5000 x1  2 N 1.86
Rh 0.5000 0.5000 0.5000 x1  8 Ti 2.76, 4 Co 2.90
N 0.0000 0.0000 0.0000 x1  2 Co 1.86, 4 Ti 2.05

=====

Entry 11:
Here is a geometry-optimized TlCo2RhN structure from Alexandria. Energies are from PBE.

Computed properties:
E_tot = -31.3 eV/f.u.
ρ = 11.40 g/cm3
Raw formation energy = 0.195 eV per atom

a b c (Å): 3.8801 3.8801 4.2473
angles (deg): 90.00 90.00 90.00
With the nearest neighbours (Å) after each atom.
Space group P4/mmm (No. 123)
Unique sites:
Tl 0.0000 0.0000 0.0000 x1  4 Rh 2.74, 8 Co 2.88
Co 0.0000 0.5000 0.5000 x2  2 N 1.94
Rh 0.5000 0.5000 0.0000 x1  2 N 2.12
N 0.5000 0.5000 0.5000 x1  4 Co 1.94, 2 Rh 2.12

=====

Entry 12:
Here is a geometry-optimized TlCoRh2N structure from Alexandria. Energies are from PBE.

Computed properties:
E_tot = -31.6 eV/f.u.
ρ = 11.78 g/cm3
Raw formation energy = 0.178 eV per atom

a b c (Å): 4.2513 4.2513 3.7692
angles (deg): 90.00 90.00 90.00
With the nearest neighbours (Å) after each atom.
Space group P4/mmm (No. 123)
Unique sites:
Tl 0.0000 0.0000 0.0000 x1  8 Rh 2.84, 4 Co 3.01
Co 0.5000 0.5000 0.0000 x1  2 N 1.88
Rh 0.0000 0.5000 0.5000 x2  2 N 2.13
N 0.5000 0.5000 0.5000 x1  2 Co 1.88